1.
Here is Rb2Sn7Hg after structural relaxation from the Alexandria database. Energies are from GGA-PBE.

Space group: P-4m2, No. 115
ΔH_f (0 K): -1.31 eV/f.u.
Magnetic moment: 0.00 μB/f.u.

Geometry as POSCAR:
```
Rb2Sn7Hg
1.0
5.236 0.000 0.000
0.000 5.236 0.000
0.000 0.000 12.543
Rb Sn Hg
2 7 1
direct
0.000 0.500 0.245 Rb
0.500 0.000 0.755 Rb
0.000 0.000 0.000 Sn
0.000 0.000 0.500 Sn
0.000 0.500 0.628 Sn
0.000 0.500 0.876 Sn
0.500 0.000 0.124 Sn
0.500 0.000 0.372 Sn
0.500 0.500 0.500 Sn
0.500 0.500 0.000 Hg
```

2.
Here is Rb2SnHg2 after structural relaxation from the Alexandria database. Energies are from GGA-PBE.

Space group: P4/mbm, No. 127
ΔH_f (0 K): -0.82 eV/f.u.
Magnetic moment: 0.00 μB/f.u.

Geometry as POSCAR:
```
Rb2SnHg2
1.0
7.975 0.000 0.000
0.000 7.975 0.000
0.000 0.000 5.866
Rb Sn Hg
4 2 4
direct
0.178 0.322 0.000 Rb
0.322 0.822 0.000 Rb
0.678 0.178 0.000 Rb
0.822 0.678 0.000 Rb
0.000 0.000 0.500 Sn
0.500 0.500 0.500 Sn
0.139 0.639 0.500 Hg
0.361 0.139 0.500 Hg
0.639 0.861 0.500 Hg
0.861 0.361 0.500 Hg
```

3.
Here is RbSn6Hg2 after structural relaxation from the Alexandria database. Energies are from GGA-PBE.

Space group: C2/m, No. 12
ΔH_f (0 K): 0.04 eV/f.u.
Magnetic moment: 0.00 μB/f.u.

Geometry as POSCAR:
```
RbSn6Hg2
1.0
7.973 -4.949 0.000
7.973 4.949 0.000
-0.729 0.000 3.394
Rb Sn Hg
1 6 2
direct
0.000 0.000 0.000 Rb
0.015 0.358 0.689 Sn
0.344 0.656 0.500 Sn
0.358 0.015 0.689 Sn
0.642 0.985 0.311 Sn
0.656 0.344 0.500 Sn
0.985 0.642 0.311 Sn
0.353 0.353 0.847 Hg
0.647 0.647 0.153 Hg
```

4.
Here is Rb2Sn4Hg5 after structural relaxation from the Alexandria database. Energies are from GGA-PBE.

Space group: C2/m, No. 12
ΔH_f (0 K): -0.93 eV/f.u.
Magnetic moment: 0.00 μB/f.u.

Geometry as POSCAR:
```
Rb2Sn4Hg5
1.0
7.208 -3.804 0.000
7.208 3.804 0.000
-7.204 0.000 7.263
Rb Sn Hg
2 4 5
direct
0.236 0.236 0.291 Rb
0.764 0.764 0.709 Rb
0.126 0.126 0.546 Sn
0.276 0.276 0.955 Sn
0.724 0.724 0.045 Sn
0.874 0.874 0.454 Sn
0.234 0.719 0.253 Hg
0.281 0.766 0.747 Hg
0.500 0.500 0.000 Hg
0.719 0.234 0.253 Hg
0.766 0.281 0.747 Hg
```